[1]
Density functional theory data (PBE-GGA) for a relaxed structure of CoMoRh.

```
CoMoRh
1.0
-1.071 -3.426 1.924
2.589 -3.140 0.162
1.776 -0.995 3.527
Co Rh Mo
1 1 1
Direct
0.500 0.500 0.500
0.000 0.000 0.000
0.750 0.750 0.750
```

* crystal system: cubic
* raw total energy: -23.927 eV for the cell shown
* symmetry: F-43m
* ΔE to the lowest computed polymorph: 0.500 eV per atom
* energy relative to the elements: 454 meV/atom

[2]
Density functional theory data (PBE-GGA) for a relaxed structure of CoMoRh.

```
CoMoRh
1.0
2.703 0.000 0.000
-1.352 5.087 4.639
0.000 1.513 7.288
Co Rh Mo
2 2 2
Direct
0.665 0.331 0.239
0.335 0.669 0.761
0.672 0.343 0.755
0.328 0.657 0.245
0.997 0.994 0.265
0.003 0.006 0.735
```

* crystal system: monoclinic
* raw total energy: -50.854 eV for the cell shown
* symmetry: C2/m
* ΔE to the lowest computed polymorph: 0.000 eV per atom
* energy relative to the elements: -46 meV/atom

[3]
Density functional theory data (PBE-GGA) for a relaxed structure of CoMoRu2Rh.

```
CoMoRu2Rh
1.0
-2.302 3.041 -2.538
1.640 -1.789 -3.632
-3.568 -2.867 -0.199
Rh Ru Co Mo
1 2 1 1
Direct
0.000 0.000 0.000
0.000 0.000 0.500
0.500 0.000 0.000
0.000 0.500 0.000
0.500 0.500 0.500
```

* crystal system: tetragonal
* raw total energy: -33.983 eV for the cell shown
* symmetry: P4/mmm
* energy relative to the elements: 1972 meV/atom

[4]
Density functional theory data (PBE-GGA) for a relaxed structure of CoMoRhSe2.

```
CoMoRhSe2
1.0
-2.528 -0.328 -4.096
-4.078 -0.388 2.548
-0.501 4.779 -0.073
Se Rh Co Mo
2 1 1 1
Direct
0.500 0.000 0.000
0.000 0.500 0.000
0.000 0.000 0.500
0.500 0.500 0.500
0.000 0.000 0.000
```

* crystal system: tetragonal
* raw total energy: -27.174 eV for the cell shown
* symmetry: P4/mmm

[5]
Density functional theory data (PBE-GGA) for a relaxed structure of Tl2CoMoRh.

```
Tl2CoMoRh
1.0
-2.155 3.586 3.379
-4.152 -0.684 -1.923
-0.991 -3.928 3.537
Co Tl Mo Rh
1 2 1 1
Direct
0.500 0.500 0.500
0.000 0.000 0.500
0.500 0.000 0.000
0.000 0.000 0.000
0.000 0.500 0.000
```

* crystal system: tetragonal
* raw total energy: -22.707 eV for the cell shown
* symmetry: P4/mmm
* energy relative to the elements: 1463 meV/atom

[6]
Density functional theory data (PBE-GGA) for a relaxed structure of VCoMoRh.

```
VCoMoRh
1.0
-1.592 3.929 0.267
-3.525 0.714 2.259
0.222 2.137 3.663
Co V Mo Rh
1 1 1 1
Direct
0.944 0.944 0.169
0.193 0.193 0.420
0.444 0.444 0.669
0.693 0.693 0.920
```

* crystal system: cubic
* raw total energy: -34.233 eV for the cell shown
* symmetry: F-43m
* ΔE to the lowest computed polymorph: 0.061 eV per atom
* energy relative to the elements: 44 meV/atom

[7]
Density functional theory data (PBE-GGA) for a relaxed structure of VCoMoRh.

```
VCoMoRh
1.0
-0.019 -0.412 4.213
-0.869 -3.752 1.756
3.064 -2.196 1.926
Co Rh Mo V
1 1 1 1
Direct
0.750 0.750 0.750
0.500 0.500 0.500
0.000 0.000 0.000
0.250 0.250 0.250
```

* crystal system: cubic
* raw total energy: -34.477 eV for the cell shown
* symmetry: F-43m
* ΔE to the lowest computed polymorph: 0.000 eV per atom
* energy relative to the elements: -17 meV/atom

[8]
Density functional theory data (PBE-GGA) for a relaxed structure of CoMo2Ru.

```
CoMo2Ru
1.0
3.207 0.000 0.000
0.000 3.207 0.000
0.000 0.000 5.530
Ru Mo Co
1 2 1
Direct
0.500 0.500 0.250
0.000 0.000 0.972
0.000 0.000 0.528
0.500 0.500 0.750
```

* crystal system: tetragonal
* raw total energy: -37.322 eV for the cell shown
* symmetry: P4/mmm
* ΔE to the lowest computed polymorph: 0.149 eV per atom
* energy relative to the elements: 180 meV/atom

[9]
Density functional theory data (PBE-GGA) for a relaxed structure of CoMo2Ru.

```
CoMo2Ru
1.0
-0.259 1.019 4.524
4.609 -3.262 -2.258
2.446 1.245 -0.137
Mo Ru Co
2 1 1
Direct
0.000 0.000 0.000
0.000 0.500 0.500
0.500 0.500 0.000
0.500 0.000 0.500
```

* crystal system: orthorhombic
* raw total energy: -37.772 eV for the cell shown
* symmetry: Cmmm
* ΔE to the lowest computed polymorph: 0.036 eV per atom
* energy relative to the elements: 68 meV/atom

[10]
Density functional theory data (PBE-GGA) for a relaxed structure of CoMo2Ru.

```
CoMo2Ru
1.0
-1.673 -1.499 -1.511
2.128 -1.126 -1.237
0.162 -5.557 5.334
Co Mo Ru
1 2 1
Direct
0.500 0.500 0.745
0.000 0.000 0.976
0.500 0.500 0.263
0.000 0.000 0.516
```

* crystal system: tetragonal
* raw total energy: -37.423 eV for the cell shown
* symmetry: P4mm
* ΔE to the lowest computed polymorph: 0.123 eV per atom
* energy relative to the elements: 155 meV/atom

[11]
Density functional theory data (PBE-GGA) for a relaxed structure of CoMo2Ru.

```
CoMo2Ru
1.0
-2.318 -3.574 1.893
3.041 -2.702 2.276
-0.760 4.593 0.175
Mo Ru Co
2 1 1
Direct
0.500 0.500 0.000
0.000 0.000 0.000
0.750 0.250 0.500
0.250 0.750 0.500
```

* crystal system: orthorhombic
* raw total energy: -37.906 eV for the cell shown
* symmetry: Fmmm
* ΔE to the lowest computed polymorph: 0.003 eV per atom
* energy relative to the elements: 34 meV/atom

[12]
Density functional theory data (PBE-GGA) for a relaxed structure of CoMo4Ru.

```
CoMo4Ru
1.0
0.000 3.614 3.614
3.614 0.000 3.614
3.614 3.614 0.000
Mo Ru Co
4 1 1
Direct
0.878 0.374 0.374
0.374 0.374 0.878
0.374 0.374 0.374
0.374 0.878 0.374
0.750 0.750 0.750
0.000 0.000 0.000
```

* crystal system: cubic
* raw total energy: -56.938 eV for the cell shown
* symmetry: F-43m
* energy relative to the elements: 461 meV/atom